# BaSc2Te

A geometry-optimized BaSc2Te structure (GGA-PBE, the Alexandria database).

POSCAR file:
```
BaSc2Te
1.0
-2.0032 2.6169 5.7544
2.0032 -2.6169 5.7544
2.0032 2.6169 -5.7544
Ba Sc Te
1 2 1
Direct
0.0000 0.0000 0.0000
0.2810 0.7810 0.5000
0.5620 0.5620 0.0000
0.7463 0.2463 0.5000
```

## Properties
VASP energy, eV/atom: -4.66
E_form (uncorrected), eV/atom: -0.227
Total magnetization, μB/atom: 0.0005



# Na5MgTl6

A geometry-optimized Na5MgTl6 structure (GGA-PBE, the Alexandria database).

POSCAR file:
```
Na5MgTl6
1.0
2.5958 -7.8029 0.0000
2.5958 7.8029 0.0000
0.0000 0.0000 8.1614
Na Mg Tl
5 1 6
Direct
0.0000 0.0000 0.0000
0.3312 0.6688 0.0000
0.3311 0.6689 0.5000
0.6688 0.3312 0.0000
0.6689 0.3311 0.5000
0.0000 0.0000 0.5000
0.1599 0.8401 0.2568
0.1599 0.8401 0.7432
0.5000 0.5000 0.2626
0.5000 0.5000 0.7374
0.8401 0.1599 0.2568
0.8401 0.1599 0.7432
```

## Properties
VASP energy, eV/atom: -1.97
ΔE_f, kJ/mol of atoms: -9.6
Total magnetization, μB/atom: 0.0000



# NdEr3Cd

A geometry-optimized NdEr3Cd structure (GGA-PBE, the Alexandria database).

POSCAR file:
```
NdEr3Cd
1.0
6.4944 -1.8339 0.0000
6.4944 1.8339 0.0000
-0.7674 0.0000 12.5137
Nd Er Cd
2 6 2
Direct
0.2353 0.2353 0.2529
0.7647 0.7647 0.7471
0.0352 0.0352 0.6880
0.1459 0.1459 0.9495
0.3663 0.3663 0.5219
0.6337 0.6337 0.4781
0.8541 0.8541 0.0505
0.9648 0.9648 0.3120
0.4482 0.4482 0.8735
0.5518 0.5518 0.1265
```

## Properties
Energy relative to the lowest polymorph listed for this composition, eV per atom: 0.000
VASP energy, eV/atom: -3.98
ΔE_f, kJ/mol of atoms: -10.0
Total magnetization, μB/atom: 0.0001



# Cs2ZnPPb

A geometry-optimized Cs2ZnPPb structure (GGA-PBE, the Alexandria database).

POSCAR file:
```
Cs2ZnPPb
1.0
7.3462 0.0000 0.0000
0.0000 7.3462 0.0000
0.0000 0.0000 5.3687
Cs Zn P Pb
2 1 1 1
Direct
0.0000 0.5000 0.0000
0.5000 0.0000 0.0000
0.0000 0.0000 0.5000
0.5000 0.5000 0.5000
0.5000 0.5000 0.0000
```

## Properties
VASP energy, eV/atom: -2.14
ΔE_f, kJ/mol of atoms: 27.0
Total magnetization, μB/atom: 0.0000



# SiAg2GeAs

A geometry-optimized SiAg2GeAs structure (GGA-PBE, the Alexandria database).

POSCAR file:
```
SiAg2GeAs
1.0
4.8170 0.0000 0.0000
0.0000 4.8170 0.0000
0.0000 0.0000 4.8530
Si Ag Ge As
1 2 1 1
Direct
0.0000 0.0000 0.0000
0.0000 0.5000 0.0000
0.5000 0.0000 0.0000
0.5000 0.5000 0.5000
0.0000 0.0000 0.5000
```

## Properties
VASP energy, eV/atom: -3.44
E_form (uncorrected), eV/atom: 0.637
Total magnetization, μB/atom: 0.0000



# Ca3PbBr6Cl2

A geometry-optimized Ca3PbBr6Cl2 structure (GGA-PBE, the Alexandria database).

POSCAR file:
```
Ca3PbBr6Cl2
1.0
7.3275 -4.2552 0.0000
7.3275 4.2552 0.0000
-0.4660 0.0000 6.3988
Ca Pb Br Cl
3 1 6 2
Direct
0.0000 0.0000 0.0000
0.0000 0.5000 0.5000
0.5000 0.0000 0.5000
0.5000 0.5000 0.5000
0.1481 0.6629 0.2347
0.3337 0.3337 0.7491
0.3371 0.8519 0.7653
0.6629 0.1481 0.2347
0.6663 0.6663 0.2509
0.8519 0.3371 0.7653
0.1625 0.1625 0.2740
0.8375 0.8375 0.7260
```

## Properties
VASP energy, eV/atom: -3.77
E_form (uncorrected), eV/atom: -1.817
Total magnetization, μB/atom: 0.0000



# BaInPbAu2

A geometry-optimized BaInPbAu2 structure (GGA-PBE, the Alexandria database).

POSCAR file:
```
BaInPbAu2
1.0
-2.3621 2.3621 6.3222
2.3621 -2.3621 6.3222
2.3621 2.3621 -6.3222
Ba In Pb Au
1 1 1 2
Direct
0.0000 0.0000 0.0000
0.7500 0.2500 0.5000
0.2500 0.7500 0.5000
0.3899 0.3899 0.0000
0.6101 0.6101 0.0000
```

## Properties
VASP energy, eV/atom: -3.47
ΔE_f, kJ/mol of atoms: -47.2
Total magnetization, μB/atom: 0.0000



# Cu2Ag2As

A geometry-optimized Cu2Ag2As structure (GGA-PBE, the Alexandria database).

POSCAR file:
```
Cu2Ag2As
1.0
7.5359 0.0000 0.0000
0.0000 7.5359 0.0000
0.0000 0.0000 2.9053
Cu Ag As
4 4 2
Direct
0.1616 0.3384 0.0000
0.3384 0.8384 0.0000
0.6616 0.1616 0.0000
0.8384 0.6616 0.0000
0.1350 0.6350 0.5000
0.3650 0.1350 0.5000
0.6350 0.8650 0.5000
0.8650 0.3650 0.5000
0.0000 0.0000 0.5000
0.5000 0.5000 0.5000
```

## Properties
Energy relative to the lowest polymorph listed for this composition, eV per atom: 0.140
VASP energy, eV/atom: -3.45
ΔE_f, kJ/mol of atoms: 25.4
Total magnetization, μB/atom: 0.0000